Record 1
A plane-wave DFT calculation with PBE was carried out for a geometry-optimized FeReCl2 structure.

**E above lowest polymorph**: 1.019 eV per atom
**E_form (uncorrected)**: 4.03 eV/f.u.
**Spin magnetization**: 1.95 μB per formula unit
**Space group**: No. 122
**Fermi-level density of states**: 2.3 states/eV/f.u.

Unit cell a=6.368 b=6.368 c=6.368 alpha=131.15 beta=131.15 gamma=71.57
Atoms (fractional coordinates):
Fe (0.000, 0.000, 0.000)
Fe (0.750, 0.250, 0.500)
Re (0.250, 0.750, 0.500)
Re (0.500, 0.500, 0.000)
Cl (0.110, 0.625, 0.985)
Cl (0.375, 0.360, 0.485)
Cl (0.640, 0.125, 0.015)
Cl (0.875, 0.890, 0.515)

=====

Record 2
A plane-wave DFT calculation with PBE was carried out for a geometry-optimized FeReCl2 structure.

**E above lowest polymorph**: 0.768 eV per atom
**E_form (uncorrected)**: 3.03 eV/f.u.
**Spin magnetization**: 3.28 μB per formula unit
**Space group**: No. 65
**Fermi-level density of states**: 4.7 states/eV/f.u.

Unit cell a=3.070 b=3.070 c=8.573 alpha=90.00 beta=90.00 gamma=124.60
Atoms (fractional coordinates):
Fe (0.000, 0.000, 0.000)
Re (0.000, 0.000, 0.500)
Cl (0.500, 0.500, 0.269)
Cl (0.500, 0.500, 0.731)

=====

Q: What is the spin magnetization in the first record?
A: 1.95 μB per formula unit

=====

Q: Number 2 is which compound?
A: FeReCl2

=====

What did the second record say?
A plane-wave DFT calculation with PBE was carried out for a geometry-optimized FeReCl2 structure.

**E above lowest polymorph**: 0.768 eV per atom
**E_form (uncorrected)**: 3.03 eV/f.u.
**Spin magnetization**: 3.28 μB per formula unit
**Space group**: No. 65
**Fermi-level density of states**: 4.7 states/eV/f.u.

Unit cell a=3.070 b=3.070 c=8.573 alpha=90.00 beta=90.00 gamma=124.60
Atoms (fractional coordinates):
Fe (0.000, 0.000, 0.000)
Re (0.000, 0.000, 0.500)
Cl (0.500, 0.500, 0.269)
Cl (0.500, 0.500, 0.731)